1.
{
  "formula": "Sr2PuI6",
  "functional": "GGA-PBE",
  "state": "relaxed",
  "magmom_total_mub_per_atom": 0.667,
  "spacegroup": "C2/m (12)",
  "e_form_raw_ev_per_atom": -1.470,
  "lattice_angstrom": [[-0.587, 4.647, 0.587], [-7.547, -3.648, 2.345], [7.084, -0.316, 9.589]],
  "species": ["Sr", "Sr", "Pu", "I", "I", "I", "I", "I", "I"],
  "frac_coords": [[0.665, 0.330, 0.830], [0.335, 0.670, 0.170], [0.000, 0.000, 0.500], [0.309, 0.619, 0.883], [0.691, 0.381, 0.117], [0.979, 0.958, 0.222], [0.638, 0.275, 0.543], [0.021, 0.042, 0.778], [0.362, 0.725, 0.457]]
}

=====

2.
{
  "formula": "La2AlSn3",
  "functional": "GGA-PBE",
  "state": "relaxed",
  "delta_e_f_mev_per_atom": -549,
  "magmom_total_mub_per_atom": 0.000,
  "spacegroup": "Pmm2 (25)",
  "lattice_angstrom": [[-3.217, 0.013, -2.830], [1.080, -4.297, -1.247], [-5.393, -3.130, 6.115]],
  "species": ["La", "La", "Al", "Sn", "Sn", "Sn"],
  "frac_coords": [[0.000, 0.500, 0.008], [0.000, 0.000, 0.493], [0.500, 0.500, 0.334], [0.500, 0.000, 0.841], [0.500, 0.000, 0.182], [0.500, 0.500, 0.642]]
}

=====

3.
{
  "formula": "Ni2AgOs",
  "functional": "GGA-PBE",
  "state": "relaxed",
  "delta_e_f_mev_per_atom": 227,
  "magmom_total_mub_per_atom": 0.000,
  "spacegroup": "R-3m (166)",
  "lattice_angstrom": [[-1.665, -6.895, 5.192], [0.855, -7.517, 4.475], [0.417, -5.852, 6.546]],
  "species": ["Ag", "Ni", "Ni", "Os"],
  "frac_coords": [[0.750, 0.750, 0.750], [0.995, 0.995, 0.995], [0.505, 0.505, 0.505], [0.250, 0.250, 0.250]]
}

=====

4.
{
  "formula": "SrMg2HgN",
  "functional": "GGA-PBE",
  "state": "relaxed",
  "magmom_total_mub_per_atom": 0.000,
  "spacegroup": "P4/mmm (123)",
  "e_form_raw_ev_per_atom": -0.369,
  "lattice_angstrom": [[4.433, 0.000, 0.000], [0.000, 4.433, 0.000], [0.000, 0.000, 5.302]],
  "species": ["Sr", "Mg", "Mg", "Hg", "N"],
  "frac_coords": [[0.000, 0.000, 0.500], [0.000, 0.500, 0.000], [0.500, 0.000, 0.000], [0.500, 0.500, 0.500], [0.000, 0.000, 0.000]]
}

=====

| no. | DFT total energy (eV for the cell shown) | density (Mg/m³) | volume (Å³/cell) |
| --- | --- | --- | --- |
| 1 | -40.2 | 4.36 | 450.16 |
| 2 | -28.9 | 6.37 | 172.22 |
| 3 | -24.7 | 12.69 | 54.36 |
| 4 | -15.3 | 5.59 | 104.19 |